# Na2CoNiF GGA+U relaxed
# density: 3.42 g/cm³
# calculated total energy: -13.33 eV/cell
# magnetic moment: 1.0 Bohr magnetons per cell
data_Na2CoNiF
_space_group_name_H-M_alt 'P 4/m m m'
_space_group_IT_number 123
_space_group_name_Hall '-P 4 2'
_cell_length_a 4.288
_cell_length_b 4.288
_cell_length_c 4.821
_cell_angle_alpha 90.00
_cell_angle_beta 90.00
_cell_angle_gamma 90.00
loop_
_atom_site_label
_atom_site_fract_x
_atom_site_fract_y
_atom_site_fract_z
Na1 0.000 0.500 0.000
Co1 0.000 0.000 0.500
Ni1 0.500 0.500 0.500
F1 0.000 0.000 0.000